The following is a GGA-PBE calculation of a relaxed La6Rh4Au crystal, from Alexandria.

Results
- Formation enthalpy at 0 K: -0.640 eV per atom
- N(E_F): 0.601 states/eV/atom
- Size of the total moment: 0.000 μB per atom
- Total DFT energy (no corrections): -6.30 eV/atom

a b c (Å): 5.9522 5.9522 9.1937
angles (deg): 108.69 108.69 89.93
Fractional coordinates of all 11 atoms:
La1 0.0000 0.0000 0.0000
La2 0.3585 0.8650 0.7135
La3 0.4339 0.9338 0.3565
La4 0.5064 0.5064 0.9993
La5 0.8650 0.3585 0.7135
La6 0.9338 0.4339 0.3565
Rh1 0.0467 0.5357 0.0759
Rh2 0.3293 0.3293 0.6374
Rh3 0.5357 0.0467 0.0759
Rh4 0.8192 0.8192 0.6369
Au1 0.4339 0.4339 0.3570